The following is a PBE calculation of a relaxed GdHo2ErIn2 crystal, from OQMD.

It has space group P-6m2 (No. 187), with a = 5.3706 Å, b = 5.3706 Å, c = 6.7067 Å, α = 90.00°, β = 90.00° and γ = 120.00°. The inequivalent atoms are Gd at (0.0000, 0.0000, 0.0000), Ho at (0.6667, 0.3333, 0.2513), Er at (0.3333, 0.6667, 0.5000), In at (0.0000, 0.0000, 0.5000) and In at (0.3333, 0.6667, 0.0000).



The following is a PBE calculation of a relaxed Gd3HoEr2Te2Ir crystal, from OQMD.

It has space group Amm2 (No. 38), with a = 3.9996 Å, b = 14.4495 Å, c = 8.3354 Å, α = 90.00°, β = 90.00° and γ = 90.00°. The inequivalent atoms are Gd at (0.0000, 0.0000, 0.0000), Gd at (0.0000, 0.1996, 0.4016), Ho at (0.5000, 0.0000, 0.3617), Er at (0.5000, 0.1195, 0.7208), Te at (0.5000, 0.1669, 0.1011) and Ir at (0.0000, 0.0000, 0.6024).



no.,E_tot (eV per atom),magnetic moment (μB/atom)
1,-4.325,0.1309
2,-5.637,0.0024